No. 1
A relaxed Zr2SiP crystal. Source: Alexandria via LeMat-Bulk, functional PBEsol.

abc: 4.382 4.718 4.382
angles: 117.67 90.00 117.67
Positions (direct):
Si (0.000, 0.000, 0.000)
Zr (0.250, 0.500, 0.750)
Zr (0.750, 0.500, 0.250)
P (0.500, 0.000, 0.500)

## Properties
ΔE_f (raw) = -2.72 eV/f.u.
symmetry = No. 139
energy above the lowest structure with this stoichiometry = 12.7 kJ per mole of atoms

***

No. 2
A relaxed SmP crystal. Source: Alexandria via LeMat-Bulk, functional PBEsol.

abc: 4.053 4.053 4.053
angles: 60.00 60.00 60.00
Positions (direct):
P (0.000, 0.000, 0.000)
Sm (0.500, 0.500, 0.500)

## Properties
symmetry = No. 225
E_form = -1584 meV per atom

***

No. 3
A relaxed SmP5 crystal. Source: Alexandria via LeMat-Bulk, functional PBEsol.

abc: 4.884 5.363 9.445
angles: 90.00 90.00 103.26
Positions (direct):
P (0.382, 0.041, 0.092)
P (0.285, 0.402, 0.033)
P (0.715, 0.598, 0.967)
P (0.715, 0.598, 0.533)
P (0.618, 0.959, 0.908)
P (0.618, 0.959, 0.592)
P (0.285, 0.402, 0.467)
P (0.725, 0.097, 0.250)
P (0.275, 0.903, 0.750)
P (0.382, 0.041, 0.408)
Sm (0.984, 0.647, 0.250)
Sm (0.016, 0.353, 0.750)

## Properties
symmetry = No. 11
E_form = -546 meV per atom

***

No. 4
A relaxed SrSnP crystal. Source: Alexandria via LeMat-Bulk, functional PBEsol.

abc: 4.317 4.317 8.881
angles: 90.00 90.00 90.00
Positions (direct):
P (0.500, 0.000, 0.671)
P (0.000, 0.500, 0.329)
Sn (0.000, 0.500, 0.052)
Sn (0.500, 0.000, 0.948)
Sr (0.000, 0.500, 0.668)
Sr (0.500, 0.000, 0.332)

## Properties
symmetry = No. 129
E_form = -750 meV per atom

***

No. 5
A relaxed TaSnP3 crystal. Source: Alexandria via LeMat-Bulk, functional PBEsol.

abc: 4.795 4.795 4.795
angles: 90.00 90.00 90.00
Positions (direct):
Ta (0.000, 0.000, 0.000)
P (0.000, 0.500, 0.000)
P (0.000, 0.000, 0.500)
P (0.500, 0.000, 0.000)
Sn (0.500, 0.500, 0.500)

## Properties
symmetry = No. 221
E_form = 278 meV per atom

***

No. 6
A relaxed Tc3SnP crystal. Source: Alexandria via LeMat-Bulk, functional PBEsol.

abc: 4.789 4.789 4.789
angles: 90.00 90.00 90.00
Positions (direct):
P (0.500, 0.500, 0.500)
Sn (0.000, 0.000, 0.000)
Tc (0.000, 0.500, 0.000)
Tc (0.000, 0.000, 0.500)
Tc (0.500, 0.000, 0.000)

## Properties
symmetry = No. 221
E_form = 2543 meV per atom

***

No. 7
A relaxed Sn2TeP2 crystal. Source: Alexandria via LeMat-Bulk, functional PBEsol.

abc: 3.830 3.830 8.305
angles: 103.33 103.33 90.00
Positions (direct):
Sn (0.386, 0.386, 0.772)
Sn (0.614, 0.614, 0.228)
Te (0.000, 0.000, 0.000)
P (0.750, 0.250, 0.500)
P (0.250, 0.750, 0.500)

## Properties
ΔE_f (raw) = 0.60 eV/f.u.
symmetry = No. 139

***

No. 8
A relaxed Ti3SnP crystal. Source: Alexandria via LeMat-Bulk, functional PBEsol.

abc: 4.511 4.511 4.511
angles: 90.00 90.00 90.00
Positions (direct):
P (0.000, 0.000, 0.000)
Ti (0.000, 0.500, 0.000)
Ti (0.000, 0.000, 0.500)
Ti (0.500, 0.000, 0.000)
Sn (0.500, 0.500, 0.500)

## Properties
symmetry = No. 221
E_form = -404 meV per atom

***

No. 9
A relaxed Sn3PW crystal. Source: Alexandria via LeMat-Bulk, functional PBEsol.

abc: 4.960 4.960 4.960
angles: 90.00 90.00 90.00
Positions (direct):
W (0.500, 0.500, 0.500)
P (0.000, 0.000, 0.000)
Sn (0.000, 0.000, 0.500)
Sn (0.000, 0.500, 0.000)
Sn (0.500, 0.000, 0.000)

## Properties
symmetry = No. 221
E_form = 1398 meV per atom

***

No. 10
A relaxed SnP3W crystal. Source: Alexandria via LeMat-Bulk, functional PBEsol.

abc: 4.701 4.701 4.701
angles: 90.00 90.00 90.00
Positions (direct):
W (0.000, 0.000, 0.000)
P (0.500, 0.000, 0.000)
P (0.000, 0.500, 0.000)
P (0.000, 0.000, 0.500)
Sn (0.500, 0.500, 0.500)

## Properties
symmetry = No. 221
E_form = 448 meV per atom

***

No. 11
A relaxed YSn2P2 crystal. Source: Alexandria via LeMat-Bulk, functional PBEsol.

abc: 3.373 3.373 9.781
angles: 99.93 99.93 90.00
Positions (direct):
Y (0.000, 0.000, 0.000)
P (0.750, 0.250, 0.500)
P (0.250, 0.750, 0.500)
Sn (0.615, 0.615, 0.230)
Sn (0.385, 0.385, 0.770)

## Properties
symmetry = No. 139
E_form = -53 meV per atom

***

No. 12
A relaxed ZnSnP2 crystal. Source: Alexandria via LeMat-Bulk, functional PBEsol.

abc: 3.985 3.985 5.597
angles: 90.00 90.00 90.00
Positions (direct):
P (0.000, 0.500, 0.225)
P (0.500, 0.000, 0.775)
Zn (0.000, 0.000, 0.000)
Sn (0.500, 0.500, 0.500)

## Properties
symmetry = No. 115
energy above the lowest structure with this stoichiometry = 0.2 kJ per mole of atoms
E_form = -160 meV per atom